DFT (PBE) results for a relaxed structure of MgCrCl6.

The calculation puts the formation energy (no corrections) at -1166 meV/atom. The polymorph energy (0 for the lowest one) is 18 meV per atom. For the total energy, the calculation gives -3.953 eV/atom. Its total magnetic moment is 1.99 μB per formula unit.

It has space group C2/m (No. 12), with a = 6.0651 Å, b = 12.4270 Å, c = 6.0568 Å, α = 90.00°, β = 110.05° and γ = 90.00°. The inequivalent atoms are Mg at (0.0000, 0.0000, 0.0000), Cr at (0.0000, 0.5000, 0.5000), Cl at (0.2301, 0.5000, 0.2743) and Cl at (0.2378, 0.3680, 0.7404).